Entry 1:
# KPrInSe3

Crystalline KPrInSe3 at its relaxed geometry (PBE, Alexandria).

Values from the calculation:
As for the magnetic moment: 0.0 μB/f.u. For the density, the calculation gives 4.26 Mg/m³. The raw formation energy is -1.1787 eV/atom. As for the final energy: -4.357 eV per atom.

Unit cell a=4.7530 b=8.8820 c=10.1630 alpha=104.82 beta=90.00 gamma=90.00
Fractional coordinates of all 12 atoms:
Se (0.7500, 0.4581, 0.1557)
K (0.7500, 0.7966, 0.7789)
Se (0.2500, 0.5419, 0.8443)
K (0.2500, 0.2034, 0.2211)
Se (0.2500, 0.7707, 0.4601)
Se (0.2500, 0.1043, 0.8549)
In (0.7500, 0.8888, 0.4076)
Pr (0.2500, 0.6659, 0.1384)
Se (0.7500, 0.2293, 0.5399)
In (0.2500, 0.1112, 0.5924)
Pr (0.7500, 0.3341, 0.8616)
Se (0.7500, 0.8957, 0.1451)

Entry 2:
# HgB4O7

Crystalline HgB4O7 at its relaxed geometry (PBE, Alexandria).

Values from the calculation:
As for the magnetic moment: 0.0 μB/f.u. For the density, the calculation gives 5.78 Mg/m³. The raw formation energy is -2.0048 eV/atom. For the energy relative to the lowest polymorph listed for this composition, the calculation gives 0.072 eV/atom. As for the final energy: -7.148 eV per atom.

Unit cell a=4.2414 b=4.4479 c=10.8331 alpha=90.00 beta=90.00 gamma=90.00
Fractional coordinates of all 24 atoms:
O (0.9801, 0.3556, 0.3583)
B (0.4086, 0.3263, 0.1207)
O (0.4801, 0.6444, 0.8583)
B (0.9311, 0.1729, 0.2487)
O (0.0723, 0.2672, 0.8651)
O (0.9801, 0.3556, 0.6417)
B (0.4086, 0.3263, 0.8793)
O (0.0723, 0.2672, 0.1349)
O (0.0760, 0.8670, 0.2791)
O (0.5723, 0.7328, 0.6349)
B (0.4311, 0.8271, 0.2513)
B (0.9311, 0.1729, 0.7513)
O (0.0760, 0.8670, 0.7209)
O (0.5163, 0.2329, 0.0000)
O (0.5723, 0.7328, 0.3651)
O (0.5760, 0.1330, 0.2209)
O (0.4801, 0.6444, 0.1417)
B (0.9086, 0.6737, 0.6207)
B (0.4311, 0.8271, 0.7487)
O (0.5760, 0.1330, 0.7791)
Hg (0.3927, 0.1769, 0.5000)
Hg (0.8927, 0.8231, 0.0000)
O (0.0163, 0.7671, 0.5000)
B (0.9086, 0.6737, 0.3793)

Entry 3:
# InTePb2

Crystalline InTePb2 at its relaxed geometry (PBE, Alexandria).

Values from the calculation:
As for the magnetic moment: 0.0 μB/f.u. For the density, the calculation gives 8.83 Mg/m³. The raw formation energy is -0.0298 eV/atom. For the energy relative to the lowest polymorph listed for this composition, the calculation gives 0.046 eV/atom. As for the final energy: -3.354 eV per atom.

Unit cell a=6.2740 b=6.2740 c=6.2740 alpha=134.53 beta=134.53 gamma=66.26
Fractional coordinates of all 4 atoms:
Pb (0.0000, 0.0000, 0.0000)
Te (0.2500, 0.7500, 0.5000)
Pb (0.5000, 0.5000, 0.0000)
In (0.7500, 0.2500, 0.5000)